Density functional theory data (GGA-PBE) for crystalline SrPmRe2O8 at its relaxed geometry.

Its energy is -95.48 eV/f.u. The uncorrected formation energy comes out at -2.040 eV/atom.

a b c (Å): 5.9914 5.9914 7.2760
angles (deg): 90.00 90.00 120.00
Closest atoms and distances in Å follow each position.
Space group P-3m1 (No. 164)
Asymmetric unit:
Sr1 0.0000 0.0000 0.0000 [1 per cell]  6 O 2.66
Pm1 0.0000 0.0000 0.5000 [1 per cell]  6 O 2.34
Re1 0.3333 0.6667 0.7991 [2 per cell]  4 O 1.79-1.84
O1 0.1646 0.3292 0.7194 [6 per cell]  1 Re 1.84
O2 0.3333 0.6667 0.0444 [2 per cell]  1 Re 1.79